*A*
# PmNd6Tm12, optimized geometry, DFT GGA-PBE
# magnetization: 0.00 μB per formula unit
# density of states at the Fermi level: 74.75 states/eV/cell
# crystal system: trigonal
data_PmNd6Tm12
_chemical_formula_sum 'Pm3 Nd18 Tm36'
_cell_length_a 13.5251
_cell_length_b 13.5251
_cell_length_c 12.2982
_cell_angle_alpha 90.00
_cell_angle_beta 90.00
_cell_angle_gamma 120.00
_symmetry_space_group_name_H-M 'R -3 m'
_symmetry_Int_Tables_number 166
_symmetry_space_group_name_Hall '-R 3 2"'
loop_
_atom_site_label
_atom_site_fract_x
_atom_site_fract_y
_atom_site_fract_z
Pm1 0.0000 0.0000 0.0000
Nd1 0.0095 0.5048 0.7254
Tm1 0.0000 0.3841 0.5000
Tm2 0.0953 0.1906 0.3567



*B*
# PmNd6Tm12, optimized geometry, DFT GGA-PBE
# magnetization: 0.00 μB per formula unit
# density of states at the Fermi level: 94.89 states/eV/cell
# crystal system: trigonal
data_PmNd6Tm12
_chemical_formula_sum 'Pm3 Nd18 Tm36'
_cell_length_a 13.1906
_cell_length_b 13.1906
_cell_length_c 12.5613
_cell_angle_alpha 90.00
_cell_angle_beta 90.00
_cell_angle_gamma 120.00
_symmetry_space_group_name_H-M 'R -3 m'
_symmetry_Int_Tables_number 166
_symmetry_space_group_name_Hall '-R 3 2"'
loop_
_atom_site_label
_atom_site_fract_x
_atom_site_fract_y
_atom_site_fract_z
Pm1 0.0000 0.0000 0.0000
Nd1 0.0359 0.5180 0.6181
Tm1 0.0000 0.2555 0.5000
Tm2 0.0915 0.1830 0.2633



Q: What are the energies relative to the best structure? A: *A* 24.8; *B* 0.0, in kJ/mol of atoms.



*A*
# Pm4Nd4Tm3, optimized geometry, DFT GGA-PBE
# magnetization: 0.00 μB per formula unit
# density of states at the Fermi level: 19.26 states/eV/cell
# crystal system: triclinic
data_Pm4Nd4Tm3
_chemical_formula_sum 'Pm4 Nd4 Tm3'
_cell_length_a 3.565
_cell_length_b 5.715
_cell_length_c 18.341
_cell_angle_alpha 81.10
_cell_angle_beta 84.43
_cell_angle_gamma 89.99
_symmetry_space_group_name_H-M 'P -1'
_symmetry_Int_Tables_number 2
loop_
_symmetry_equiv_pos_as_xyz
'x,y,z'
'-x,-y,-z'
loop_
_atom_site_label
_atom_site_fract_x
_atom_site_fract_y
_atom_site_fract_z
Pm1 0.090 0.091 0.320
Pm2 0.232 0.732 0.035
Nd1 0.046 0.548 0.408
Nd2 0.179 0.180 0.141
Tm1 0.365 0.364 0.771
Tm2 0.500 0.000 0.500



*B*
# Pm4Nd4Tm3, optimized geometry, DFT GGA-PBE
# magnetization: 0.00 μB per formula unit
# density of states at the Fermi level: 35.81 states/eV/cell
# crystal system: orthorhombic
data_Pm4Nd4Tm3
_chemical_formula_sum 'Pm8 Nd8 Tm6'
_cell_length_a 3.656
_cell_length_b 9.498
_cell_length_c 21.800
_cell_angle_alpha 90.00
_cell_angle_beta 90.00
_cell_angle_gamma 90.00
_symmetry_space_group_name_H-M 'I m m m'
_symmetry_Int_Tables_number 71
_symmetry_space_group_name_Hall '-I 2 2'
loop_
_atom_site_label
_atom_site_fract_x
_atom_site_fract_y
_atom_site_fract_z
Pm1 0.000 0.000 0.238
Pm2 0.000 0.185 0.000
Nd1 0.000 0.325 0.142
Tm1 0.000 0.000 0.500
Tm2 0.000 0.500 0.394



Q: What are the energies relative to the best structure? A: *A* 0.0; *B* 6.0, in kJ/mol of atoms.



*A*
# Pm5Nd2Tm, optimized geometry, DFT GGA-PBE
# magnetization: 0.00 μB per formula unit
# density of states at the Fermi level: 48.75 states/eV/cell
# crystal system: monoclinic
data_Pm5Nd2Tm
_chemical_formula_sum 'Pm20 Nd8 Tm4'
_cell_length_a 11.799
_cell_length_b 6.187
_cell_length_c 15.998
_cell_angle_alpha 90.00
_cell_angle_beta 110.76
_cell_angle_gamma 90.00
_symmetry_space_group_name_H-M 'P 1 21/c 1'
_symmetry_Int_Tables_number 14
loop_
_symmetry_equiv_pos_as_xyz
'x,y,z'
'-x,-y,-z'
'-x,y+1/2,-z+1/2'
'x,-y+1/2,z+1/2'
loop_
_atom_site_label
_atom_site_fract_x
_atom_site_fract_y
_atom_site_fract_z
Pm1 0.062 0.028 0.119
Pm2 0.192 0.110 0.378
Pm3 0.249 0.624 0.499
Pm4 0.309 0.108 0.624
Pm5 0.373 0.570 0.754
Nd1 0.124 0.568 0.245
Nd2 0.440 0.027 0.880
Tm1 0.000 0.000 0.500
Tm2 0.500 0.000 0.500



*B*
# Pm5Nd2Tm, optimized geometry, DFT GGA-PBE
# magnetization: 0.00 μB per formula unit
# density of states at the Fermi level: 22.97 states/eV/cell
# crystal system: orthorhombic
data_Pm5Nd2Tm
_chemical_formula_sum 'Pm10 Nd4 Tm2'
_cell_length_a 7.274
_cell_length_b 14.576
_cell_length_c 5.128
_cell_angle_alpha 90.00
_cell_angle_beta 90.00
_cell_angle_gamma 90.00
_symmetry_space_group_name_H-M 'P b a m'
_symmetry_Int_Tables_number 55
loop_
_symmetry_equiv_pos_as_xyz
'x,y,z'
'-x,-y,-z'
'-x,-y,z'
'x,y,-z'
'x+1/2,-y+1/2,-z'
'-x+1/2,y+1/2,z'
'-x+1/2,y+1/2,-z'
'x+1/2,-y+1/2,z'
loop_
_atom_site_label
_atom_site_fract_x
_atom_site_fract_y
_atom_site_fract_z
Pm1 0.000 0.000 0.000
Pm2 0.001 0.251 0.000
Pm3 0.250 0.376 0.500
Nd1 0.249 0.624 0.500
Tm1 0.000 0.500 0.000



Q: What are the energies relative to the best structure? A: *A* 5.1; *B* 0.0, in kJ/mol of atoms.



*A*
# Pm2Nd3Tm6, optimized geometry, DFT GGA-PBE
# magnetization: 0.00 μB per formula unit
# density of states at the Fermi level: 31.31 states/eV/cell
# crystal system: monoclinic
data_Pm2Nd3Tm6
_chemical_formula_sum 'Pm4 Nd6 Tm12'
_cell_length_a 6.143
_cell_length_b 10.657
_cell_length_c 11.607
_cell_angle_alpha 90.00
_cell_angle_beta 100.21
_cell_angle_gamma 90.00
_symmetry_space_group_name_H-M 'C 1 2/m 1'
_symmetry_Int_Tables_number 12
loop_
_symmetry_equiv_pos_as_xyz
'x,y,z'
'-x,-y,-z'
'-x,y,-z'
'x,-y,z'
'x+1/2,y+1/2,z'
'-x+1/2,-y+1/2,-z'
'-x+1/2,y+1/2,-z'
'x+1/2,-y+1/2,z'
loop_
_atom_site_label
_atom_site_fract_x
_atom_site_fract_y
_atom_site_fract_z
Pm1 0.000 0.167 0.000
Nd1 0.000 0.000 0.500
Nd2 0.000 0.336 0.500
Tm1 0.249 0.334 0.249
Tm2 0.250 0.000 0.249



*B*
# Pm2Nd3Tm6, optimized geometry, DFT GGA-PBE
# magnetization: 0.00 μB per formula unit
# density of states at the Fermi level: 34.04 states/eV/cell
# crystal system: tetragonal
data_Pm2Nd3Tm6
_chemical_formula_sum 'Pm4 Nd6 Tm12'
_cell_length_a 4.752
_cell_length_b 4.752
_cell_length_c 33.048
_cell_angle_alpha 90.00
_cell_angle_beta 90.00
_cell_angle_gamma 90.00
_symmetry_space_group_name_H-M 'I 4/m m m'
_symmetry_Int_Tables_number 139
_symmetry_space_group_name_Hall '-I 4 2'
loop_
_atom_site_label
_atom_site_fract_x
_atom_site_fract_y
_atom_site_fract_z
Pm1 0.000 0.000 0.046
Nd1 0.000 0.000 0.295
Nd2 0.000 0.000 0.500
Tm1 0.000 0.000 0.191
Tm2 0.000 0.500 0.121



Q: What are the energies relative to the best structure? A: *A* 0.0; *B* 6.7, in kJ/mol of atoms.